Run a
{"formula": "BaCuTe3", "functional": "PBE", "state": "relaxed", "dos_ef_per_ev_cell": 3.9, "crystal_system": "cubic", "magmom_total_mub_per_cell": 2.98, "sg": "No. 221", "vol_a3_per_fu": 274.2, "cell": [[6.497, 0.000, 0.000], [0.000, 6.497, 0.000], [0.000, 0.000, 6.497]], "species": ["Ba", "Cu", "Te", "Te", "Te"], "frac_coords": [[0.000, 0.000, 0.000], [0.500, 0.500, 0.500], [0.000, 0.000, 0.500], [0.000, 0.500, 0.000], [0.500, 0.000, 0.000]]}

***

Run b
{"formula": "BaCuTe3", "functional": "PBE", "state": "relaxed", "dos_ef_per_ev_cell": 3.9, "crystal_system": "cubic", "magmom_total_mub_per_cell": 0.00, "sg": "No. 221", "vol_a3_per_fu": 151.2, "cell": [[5.327, 0.000, 0.000], [0.000, 5.327, 0.000], [0.000, 0.000, 5.327]], "species": ["Ba", "Cu", "Te", "Te", "Te"], "frac_coords": [[0.000, 0.000, 0.000], [0.500, 0.500, 0.500], [0.000, 0.500, 0.500], [0.500, 0.000, 0.500], [0.500, 0.500, 0.000]]}

***

Stability summary - winner: run b; margin: 1273 meV/atom.

***

Run a
{"formula": "BaTi2Cu", "functional": "PBE", "state": "relaxed", "dos_ef_per_ev_cell": 5.5, "crystal_system": "cubic", "magmom_total_mub_per_cell": 0.00, "sg": "No. 225", "vol_a3_per_fu": 78.7, "cell": [[0.000, 3.401, 3.401], [3.401, 0.000, 3.401], [3.401, 3.401, 0.000]], "species": ["Ba", "Ti", "Ti", "Cu"], "frac_coords": [[0.000, 0.000, 0.000], [0.250, 0.250, 0.250], [0.750, 0.750, 0.750], [0.500, 0.500, 0.500]]}

***

Run b
{"formula": "BaTi2Cu", "functional": "PBE", "state": "relaxed", "dos_ef_per_ev_cell": 16.5, "crystal_system": "tetragonal", "magmom_total_mub_per_cell": 0.00, "sg": "No. 141", "vol_a3_per_fu": 109.1, "cell": [[-2.325, 2.325, 10.086], [2.325, -2.325, 10.086], [2.325, 2.325, -10.086]], "species": ["Ba", "Ba", "Ti", "Ti", "Ti", "Ti", "Cu", "Cu"], "frac_coords": [[0.375, 0.625, 0.750], [0.625, 0.375, 0.250], [0.000, 0.000, 0.000], [0.000, 0.000, 0.500], [0.000, 0.500, 0.000], [0.500, 0.000, 0.500], [0.125, 0.875, 0.250], [0.875, 0.125, 0.750]]}

***

Stability summary - winner: run b; margin: 28 meV/atom.

***

Run a
{"formula": "Ba4TlCu", "functional": "PBE", "state": "relaxed", "dos_ef_per_ev_cell": 9.8, "crystal_system": "cubic", "magmom_total_mub_per_cell": 0.00, "sg": "No. 216", "vol_a3_per_fu": 275.2, "cell": [[0.000, 5.163, 5.163], [5.163, 0.000, 5.163], [5.163, 5.163, 0.000]], "species": ["Ba", "Ba", "Ba", "Ba", "Tl", "Cu"], "frac_coords": [[0.125, 0.125, 0.125], [0.125, 0.125, 0.624], [0.125, 0.624, 0.125], [0.624, 0.125, 0.125], [0.500, 0.500, 0.500], [0.750, 0.750, 0.750]]}

***

Run b
{"formula": "Ba4TlCu", "functional": "PBE", "state": "relaxed", "dos_ef_per_ev_cell": 9.0, "crystal_system": "tetragonal", "magmom_total_mub_per_cell": 0.00, "sg": "No. 123", "vol_a3_per_fu": 269.0, "cell": [[4.176, 0.000, 0.000], [0.000, 4.176, 0.000], [0.000, 0.000, 15.427]], "species": ["Ba", "Ba", "Ba", "Ba", "Tl", "Cu"], "frac_coords": [[0.000, 0.000, 0.121], [0.000, 0.000, 0.879], [0.500, 0.500, 0.362], [0.500, 0.500, 0.638], [0.000, 0.000, 0.500], [0.500, 0.500, 0.000]]}

***

Stability summary - winner: run b; margin: 661 meV/atom.

***

Run a
{"formula": "BaV3Cu", "functional": "PBE", "state": "relaxed", "dos_ef_per_ev_cell": 3.7, "crystal_system": "cubic", "magmom_total_mub_per_cell": 0.00, "sg": "No. 221", "vol_a3_per_fu": 106.7, "cell": [[4.743, 0.000, 0.000], [0.000, 4.743, 0.000], [0.000, 0.000, 4.743]], "species": ["Ba", "V", "V", "V", "Cu"], "frac_coords": [[0.000, 0.000, 0.000], [0.000, 0.000, 0.500], [0.000, 0.500, 0.000], [0.500, 0.000, 0.000], [0.500, 0.500, 0.500]]}

***

Run b
{"formula": "BaV3Cu", "functional": "PBE", "state": "relaxed", "dos_ef_per_ev_cell": 10.8, "crystal_system": "cubic", "magmom_total_mub_per_cell": 9.83, "sg": "No. 221", "vol_a3_per_fu": 117.8, "cell": [[4.902, 0.000, 0.000], [0.000, 4.902, 0.000], [0.000, 0.000, 4.902]], "species": ["Ba", "V", "V", "V", "Cu"], "frac_coords": [[0.000, 0.000, 0.000], [0.000, 0.500, 0.500], [0.500, 0.000, 0.500], [0.500, 0.500, 0.000], [0.500, 0.500, 0.500]]}

***

Stability summary - winner: run b; margin: 1380 meV/atom.

***

Run a
{"formula": "Ba2CuW", "functional": "PBE", "state": "relaxed", "dos_ef_per_ev_cell": 2.9, "crystal_system": "cubic", "magmom_total_mub_per_cell": 3.10, "sg": "No. 225", "vol_a3_per_fu": 126.4, "cell": [[0.000, 3.983, 3.983], [3.983, 0.000, 3.983], [3.983, 3.983, 0.000]], "species": ["Ba", "Ba", "Cu", "W"], "frac_coords": [[0.250, 0.250, 0.250], [0.750, 0.750, 0.750], [0.000, 0.000, 0.000], [0.500, 0.500, 0.500]]}

***

Run b
{"formula": "Ba2CuW", "functional": "PBE", "state": "relaxed", "dos_ef_per_ev_cell": 4.6, "crystal_system": "orthorhombic", "magmom_total_mub_per_cell": 1.53, "sg": "No. 38", "vol_a3_per_fu": 129.9, "cell": [[4.446, 0.000, 0.000], [0.000, 2.511, 5.819], [0.000, -2.511, 5.819]], "species": ["Ba", "Ba", "Cu", "W"], "frac_coords": [[0.000, 0.000, 0.000], [0.500, 0.294, 0.294], [0.000, 0.697, 0.697], [0.500, 0.607, 0.607]]}

***

Stability summary - winner: run b; margin: 297 meV/atom.

***

Run a
{"formula": "Ba2CuW", "functional": "PBE", "state": "relaxed", "dos_ef_per_ev_cell": 3.1, "crystal_system": "monoclinic", "magmom_total_mub_per_cell": 2.74, "sg": "No. 12", "vol_a3_per_fu": 131.4, "cell": [[4.249, -1.790, 0.000], [4.249, 1.790, 0.000], [-1.404, 0.000, 8.643]], "species": ["Ba", "Ba", "Cu", "W"], "frac_coords": [[0.248, 0.248, 0.249], [0.752, 0.752, 0.751], [0.000, 0.000, 0.500], [0.500, 0.500, 0.000]]}

***

Run b
{"formula": "Ba2CuW", "functional": "PBE", "state": "relaxed", "dos_ef_per_ev_cell": 8.7, "crystal_system": "tetragonal", "magmom_total_mub_per_cell": 7.73, "sg": "No. 122", "vol_a3_per_fu": 169.6, "cell": [[-4.750, 4.750, 3.758], [4.750, -4.750, 3.758], [4.750, 4.750, -3.758]], "species": ["Ba", "Ba", "Ba", "Ba", "Cu", "Cu", "W", "W"], "frac_coords": [[0.092, 0.625, 0.967], [0.375, 0.342, 0.467], [0.658, 0.125, 0.033], [0.875, 0.908, 0.533], [0.000, 0.000, 0.000], [0.750, 0.250, 0.500], [0.250, 0.750, 0.500], [0.500, 0.500, 0.000]]}

***

Stability summary - winner: run a; margin: 216 meV/atom.

***

Run a
{"formula": "Ba2CuW", "functional": "PBE", "state": "relaxed", "dos_ef_per_ev_cell": 3.4, "crystal_system": "tetragonal", "magmom_total_mub_per_cell": 3.32, "sg": "No. 119", "vol_a3_per_fu": 123.0, "cell": [[-2.375, 2.375, 5.452], [2.375, -2.375, 5.452], [2.375, 2.375, -5.452]], "species": ["Ba", "Ba", "Cu", "W"], "frac_coords": [[0.000, 0.000, 0.000], [0.750, 0.250, 0.500], [0.250, 0.750, 0.500], [0.500, 0.500, 0.000]]}

***

Run b
{"formula": "Ba2CuW", "functional": "PBE", "state": "relaxed", "dos_ef_per_ev_cell": 3.9, "crystal_system": "tetragonal", "magmom_total_mub_per_cell": 0.00, "sg": "No. 123", "vol_a3_per_fu": 115.3, "cell": [[5.922, 0.000, 0.000], [0.000, 5.922, 0.000], [0.000, 0.000, 3.289]], "species": ["Ba", "Ba", "Cu", "W"], "frac_coords": [[0.000, 0.500, 0.000], [0.500, 0.000, 0.000], [0.000, 0.000, 0.500], [0.500, 0.500, 0.500]]}

***

Run c
{"formula": "Ba2CuW", "functional": "PBE", "state": "relaxed", "dos_ef_per_ev_cell": 2.0, "crystal_system": "tetragonal", "magmom_total_mub_per_cell": 0.00, "sg": "No. 123", "vol_a3_per_fu": 109.9, "cell": [[3.342, 0.000, 0.000], [0.000, 3.342, 0.000], [0.000, 0.000, 9.839]], "species": ["Ba", "Ba", "Cu", "W"], "frac_coords": [[0.000, 0.000, 0.241], [0.000, 0.000, 0.759], [0.500, 0.500, 0.000], [0.500, 0.500, 0.500]]}

***

Run d
{"formula": "Ba2CuW", "functional": "PBE", "state": "relaxed", "dos_ef_per_ev_cell": 1.9, "crystal_system": "cubic", "magmom_total_mub_per_cell": 3.32, "sg": "No. 216", "vol_a3_per_fu": 113.4, "cell": [[0.000, 3.841, 3.841], [3.841, 0.000, 3.841], [3.841, 3.841, 0.000]], "species": ["Ba", "Ba", "Cu", "W"], "frac_coords": [[0.000, 0.000, 0.000], [0.250, 0.250, 0.250], [0.750, 0.750, 0.750], [0.500, 0.500, 0.500]]}

***

Stability summary - winner: run c; margin: 39 meV/atom.

***

Run a
{"formula": "Ba2CuW", "functional": "PBE", "state": "relaxed", "dos_ef_per_ev_cell": 3.6, "crystal_system": "trigonal", "magmom_total_mub_per_cell": 0.00, "sg": "No. 166", "vol_a3_per_fu": 110.4, "cell": [[1.737, 1.003, 10.566], [-1.737, 1.003, 10.566], [0.000, -2.005, 10.566]], "species": ["Ba", "Ba", "Cu", "W"], "frac_coords": [[0.249, 0.249, 0.249], [0.751, 0.751, 0.751], [0.500, 0.500, 0.500], [0.000, 0.000, 0.000]]}

***

Run b
{"formula": "Ba2CuW", "functional": "PBE", "state": "relaxed", "dos_ef_per_ev_cell": 6.0, "crystal_system": "tetragonal", "magmom_total_mub_per_cell": 0.19, "sg": "No. 99", "vol_a3_per_fu": 119.7, "cell": [[3.526, 0.000, 0.000], [0.000, 3.526, 0.000], [0.000, 0.000, 9.626]], "species": ["Ba", "Ba", "Cu", "W"], "frac_coords": [[0.000, 0.000, 0.000], [0.500, 0.500, 0.419], [0.000, 0.000, 0.660], [0.500, 0.500, 0.744]]}

***

Stability summary - winner: run b; margin: 452 meV/atom.

***

Run a
{"formula": "BaCuW2", "functional": "PBE", "state": "relaxed", "dos_ef_per_ev_cell": 3.1, "crystal_system": "cubic", "magmom_total_mub_per_cell": 0.48, "sg": "No. 216", "vol_a3_per_fu": 78.7, "cell": [[0.000, 3.401, 3.401], [3.401, 0.000, 3.401], [3.401, 3.401, 0.000]], "species": ["Ba", "Cu", "W", "W"], "frac_coords": [[0.000, 0.000, 0.000], [0.750, 0.750, 0.750], [0.250, 0.250, 0.250], [0.500, 0.500, 0.500]]}

***

Run b
{"formula": "BaCuW2", "functional": "PBE", "state": "relaxed", "dos_ef_per_ev_cell": 3.9, "crystal_system": "monoclinic", "magmom_total_mub_per_cell": 0.00, "sg": "No. 6", "vol_a3_per_fu": 86.2, "cell": [[3.352, 0.000, 0.000], [0.000, 3.264, 0.000], [-0.230, 0.000, 7.876]], "species": ["Ba", "Cu", "W", "W"], "frac_coords": [[0.000, 0.000, 0.000], [0.483, 0.500, 0.686], [0.509, 0.500, 0.342], [0.971, 0.000, 0.501]]}

***

Stability summary - winner: run b; margin: 632 meV/atom.

***

Run a
{"formula": "BaCu2W", "functional": "PBE", "state": "relaxed", "dos_ef_per_ev_cell": 4.7, "crystal_system": "tetragonal", "magmom_total_mub_per_cell": 1.04, "sg": "No. 119", "vol_a3_per_fu": 79.7, "cell": [[-2.035, 2.035, 4.810], [2.035, -2.035, 4.810], [2.035, 2.035, -4.810]], "species": ["Ba", "Cu", "Cu", "W"], "frac_coords": [[0.000, 0.000, 0.000], [0.250, 0.750, 0.500], [0.500, 0.500, 0.000], [0.750, 0.250, 0.500]]}

***

Run b
{"formula": "BaCu2W", "functional": "PBE", "state": "relaxed", "dos_ef_per_ev_cell": 4.0, "crystal_system": "tetragonal", "magmom_total_mub_per_cell": 0.00, "sg": "No. 123", "vol_a3_per_fu": 78.5, "cell": [[3.195, 0.000, 0.000], [0.000, 3.195, 0.000], [0.000, 0.000, 7.691]], "species": ["Ba", "Cu", "Cu", "W"], "frac_coords": [[0.000, 0.000, 0.000], [0.500, 0.500, 0.325], [0.500, 0.500, 0.675], [0.000, 0.000, 0.500]]}

***

Run c
{"formula": "BaCu2W", "functional": "PBE", "state": "relaxed", "dos_ef_per_ev_cell": 2.7, "crystal_system": "monoclinic", "magmom_total_mub_per_cell": 0.00, "sg": "No. 6", "vol_a3_per_fu": 83.9, "cell": [[2.988, 0.000, 0.000], [0.000, 4.152, 0.000], [-1.288, 0.000, 6.766]], "species": ["Ba", "Cu", "Cu", "W"], "frac_coords": [[0.000, 0.000, 0.000], [0.630, 0.500, 0.295], [0.707, 0.000, 0.502], [0.266, 0.500, 0.606]]}

***

Run d
{"formula": "BaCu2W", "functional": "PBE", "state": "relaxed", "dos_ef_per_ev_cell": 2.7, "crystal_system": "trigonal", "magmom_total_mub_per_cell": 0.00, "sg": "No. 166", "vol_a3_per_fu": 95.4, "cell": [[2.172, 1.254, 5.837], [-2.172, 1.254, 5.837], [0.000, -2.508, 5.837]], "species": ["Ba", "Cu", "Cu", "W"], "frac_coords": [[0.000, 0.000, 0.000], [0.184, 0.184, 0.184], [0.816, 0.816, 0.816], [0.500, 0.500, 0.500]]}

***

Stability summary - winner: run d; margin: 61 meV/atom.

***

Run a
{"formula": "BaCu2W", "functional": "PBE", "state": "relaxed", "dos_ef_per_ev_cell": 1.7, "crystal_system": "monoclinic", "magmom_total_mub_per_cell": 0.00, "sg": "No. 8", "vol_a3_per_fu": 85.9, "cell": [[4.212, -1.528, 0.000], [4.212, 1.528, 0.000], [-0.932, 0.000, 6.669]], "species": ["Ba", "Cu", "Cu", "W"], "frac_coords": [[0.000, 0.000, 0.000], [0.490, 0.490, 0.494], [0.768, 0.768, 0.337], [0.226, 0.226, 0.626]]}

***

Run b
{"formula": "BaCu2W", "functional": "PBE", "state": "relaxed", "dos_ef_per_ev_cell": 3.1, "crystal_system": "cubic", "magmom_total_mub_per_cell": 3.27, "sg": "No. 225", "vol_a3_per_fu": 85.7, "cell": [[0.000, 3.499, 3.499], [3.499, 0.000, 3.499], [3.499, 3.499, 0.000]], "species": ["Ba", "Cu", "Cu", "W"], "frac_coords": [[0.000, 0.000, 0.000], [0.250, 0.250, 0.250], [0.750, 0.750, 0.750], [0.500, 0.500, 0.500]]}

***

Stability summary - winner: run a; margin: 334 meV/atom.

***

Run a
{"formula": "BaCu2W", "functional": "PBE", "state": "relaxed", "dos_ef_per_ev_cell": 3.6, "crystal_system": "trigonal", "magmom_total_mub_per_cell": 0.00, "sg": "No. 166", "vol_a3_per_fu": 80.4, "cell": [[1.600, 0.924, 9.057], [-1.600, 0.924, 9.057], [0.000, -1.848, 9.057]], "species": ["Ba", "Cu", "Cu", "W"], "frac_coords": [[0.000, 0.000, 0.000], [0.232, 0.232, 0.232], [0.768, 0.768, 0.768], [0.500, 0.500, 0.500]]}

***

Run b
{"formula": "BaCu2W", "functional": "PBE", "state": "relaxed", "dos_ef_per_ev_cell": 3.0, "crystal_system": "orthorhombic", "magmom_total_mub_per_cell": 0.00, "sg": "No. 71", "vol_a3_per_fu": 87.1, "cell": [[-1.505, 2.828, 5.116], [1.505, -2.828, 5.116], [1.505, 2.828, -5.116]], "species": ["Ba", "Cu", "Cu", "W"], "frac_coords": [[0.000, 0.000, 0.000], [0.296, 0.796, 0.500], [0.704, 0.204, 0.500], [0.500, 0.500, 0.000]]}

***

Stability summary - winner: run a; margin: 147 meV/atom.